Entry 1:
A relaxed LiTl3Ag2Cl6 crystal. Source: Alexandria via LeMat-Bulk, functional PBE.

Unit cell a=7.3586 b=7.3586 c=7.3762 alpha=97.65 beta=97.65 gamma=123.06
Atoms (fractional coordinates):
Ag (0.3357, 0.6643, 0.0000)
Ag (0.6643, 0.3357, 0.0000)
Cl (0.3999, 0.0884, 0.1932)
Cl (0.7810, 0.7810, 0.2271)
Cl (0.2190, 0.2190, 0.7729)
Cl (0.0884, 0.3999, 0.1932)
Cl (0.6001, 0.9116, 0.8068)
Cl (0.9116, 0.6001, 0.8068)
Tl (0.1719, 0.8281, 0.5000)
Tl (0.8281, 0.1719, 0.5000)
Tl (0.5000, 0.5000, 0.5000)
Li (0.0000, 0.0000, 0.0000)

Values from the calculation:
- E_form (uncorrected) (eV/atom) = -0.9148
- density of states at the Fermi level (states/eV/atom) = 0.000
- total DFT energy (no corrections) (eV/atom) = -3.0644
- space-group type = No. 12

=====

Entry 2:
A relaxed LiTl2AgCl5 crystal. Source: Alexandria via LeMat-Bulk, functional PBE.

Unit cell a=4.0488 b=8.9705 c=13.8855 alpha=90.00 beta=90.00 gamma=103.04
Each line ends with the local moment (μB).
Atoms (fractional coordinates):
Li (0.8105, 0.6210, 0.5356)  0.00
Li (0.1895, 0.3790, 0.0356)  0.00
Tl (0.8394, 0.6788, 0.8041)  0.02
Tl (0.1036, 0.2072, 0.6817)  0.00
Tl (0.1606, 0.3212, 0.3041)  0.02
Tl (0.8964, 0.7928, 0.1817)  0.00
Ag (0.4756, 0.9511, 0.4447)  0.30
Ag (0.5244, 0.0489, 0.9447)  0.30
Cl (0.4775, 0.9551, 0.7745)  0.11
Cl (0.0545, 0.1090, 0.0595)  0.10
Cl (0.2779, 0.5558, 0.6364)  0.02
Cl (0.7221, 0.4442, 0.1364)  0.02
Cl (0.6625, 0.3251, 0.8915)  0.13
Cl (0.3375, 0.6749, 0.3915)  0.13
Cl (0.9455, 0.8910, 0.5595)  0.10
Cl (0.6136, 0.2272, 0.4960)  0.13
Cl (0.3864, 0.7728, 0.9960)  0.13
Cl (0.5225, 0.0449, 0.2745)  0.11

Values from the calculation:
- E_form (uncorrected) (eV/atom) = -0.9334
- density of states at the Fermi level (states/eV/atom) = 0.327
- total DFT energy (no corrections) (eV/atom) = -3.0146
- space-group type = No. 36

=====

Entry 3:
A relaxed LiTlAgCl5 crystal. Source: Alexandria via LeMat-Bulk, functional PBE.

Unit cell a=7.2322 b=7.2322 c=9.6754 alpha=101.17 beta=101.17 gamma=116.04
Atoms (fractional coordinates):
Cl (0.4200, 0.2483, 0.0531)
Cl (0.6501, 0.9959, 0.3564)
Cl (0.0041, 0.3499, 0.1436)
Cl (0.3499, 0.0041, 0.6436)
Cl (0.0946, 0.9054, 0.2500)
Cl (0.9959, 0.6501, 0.8564)
Cl (0.9054, 0.0946, 0.7500)
Cl (0.5800, 0.7517, 0.9469)
Cl (0.7517, 0.5800, 0.4469)
Cl (0.2483, 0.4200, 0.5531)
Li (0.7135, 0.2865, 0.2500)
Li (0.2865, 0.7135, 0.7500)
Ag (0.5790, 0.4210, 0.7500)
Ag (0.4210, 0.5790, 0.2500)
Tl (0.0000, 0.0000, 0.0000)
Tl (0.0000, 0.0000, 0.5000)

Values from the calculation:
- E_form (uncorrected) (eV/atom) = -0.8762
- total DFT energy (no corrections) (eV/atom) = -2.9218
- space-group type = No. 15

=====

Entry 4:
A relaxed LiTlAg2Cl4 crystal. Source: Alexandria via LeMat-Bulk, functional PBE.

Unit cell a=6.9666 b=6.9666 c=6.5158 alpha=122.27 beta=122.27 gamma=90.07
Atoms (fractional coordinates):
Li (0.5000, 0.5000, 0.0000)
Cl (0.8543, 0.4530, 0.3073)
Cl (0.4530, 0.8543, 0.3073)
Cl (0.1455, 0.1455, 0.6921)
Cl (0.5467, 0.5467, 0.6922)
Ag (0.2501, 0.7501, 0.5003)
Ag (0.7501, 0.2501, 0.5003)
Tl (0.0006, 0.0006, 0.0012)

Values from the calculation:
- E_form (uncorrected) (eV/atom) = -0.9154
- density of states at the Fermi level (states/eV/atom) = 0.000
- total DFT energy (no corrections) (eV/atom) = -3.0865
- space-group type = No. 121

=====

Entry 5:
A relaxed LiTl2Ag2Cl6 crystal. Source: Alexandria via LeMat-Bulk, functional PBE.

Unit cell a=7.2240 b=7.6731 c=7.0995 alpha=116.58 beta=90.00 gamma=118.08
Atoms (fractional coordinates):
Cl (0.8111, 0.1281, 0.8035)
Cl (0.6830, 0.8719, 0.1965)
Cl (0.7200, 0.4400, 0.6011)
Cl (0.1889, 0.8719, 0.1965)
Cl (0.3170, 0.1281, 0.8035)
Cl (0.2800, 0.5600, 0.3989)
Ag (0.0742, 0.1483, 0.2491)
Ag (0.9258, 0.8517, 0.7509)
Tl (0.2613, 0.5225, 0.8223)
Tl (0.7387, 0.4775, 0.1777)
Li (0.5000, 0.0000, 0.5000)

Values from the calculation:
- E_form (uncorrected) (eV/atom) = -0.8063
- density of states at the Fermi level (states/eV/atom) = 1.017
- total DFT energy (no corrections) (eV/atom) = -2.9362
- space-group type = No. 12

=====

Entry 6:
A relaxed Li2TlAg3Cl6 crystal. Source: Alexandria via LeMat-Bulk, functional PBE.

Unit cell a=3.8239 b=8.7333 c=9.1156 alpha=105.16 beta=102.11 gamma=90.00
Atoms (fractional coordinates):
Ag (0.1734, 0.7947, 0.3467)
Ag (0.8266, 0.2053, 0.6533)
Ag (0.5000, 0.5000, 0.0000)
Cl (0.6644, 0.5208, 0.3288)
Cl (0.9709, 0.2658, 0.9418)
Cl (0.6832, 0.1365, 0.3664)
Cl (0.3356, 0.4792, 0.6712)
Cl (0.0291, 0.7342, 0.0582)
Cl (0.3168, 0.8635, 0.6336)
Tl (0.5000, 0.0000, 0.0000)
Li (0.8046, 0.6496, 0.6092)
Li (0.1954, 0.3504, 0.3908)

Values from the calculation:
- E_form (uncorrected) (eV/atom) = -0.9514
- density of states at the Fermi level (states/eV/atom) = 0.000
- total DFT energy (no corrections) (eV/atom) = -3.1037
- space-group type = No. 12

=====

Entry 7:
A relaxed Li2TmAgCl6 crystal. Source: Alexandria via LeMat-Bulk, functional PBE.

Unit cell a=6.6246 b=6.6259 c=7.1704 alpha=62.46 beta=62.51 gamma=59.97
Atoms (fractional coordinates):
Li (0.5204, 0.5200, 0.4400)
Li (0.0082, 0.0081, 0.9755)
Cl (0.5999, 0.2407, 0.2423)
Cl (0.7349, 0.1284, 0.7520)
Cl (0.9172, 0.5999, 0.2420)
Cl (0.2410, 0.9170, 0.2420)
Cl (0.1281, 0.3849, 0.7520)
Cl (0.3846, 0.7350, 0.7520)
Tm (0.3231, 0.3230, 0.0308)
Ag (0.8043, 0.8047, 0.5865)

Values from the calculation:
- E_form (uncorrected) (eV/atom) = -1.7119
- density of states at the Fermi level (states/eV/atom) = 0.000
- total DFT energy (no corrections) (eV/atom) = -3.9350
- space-group type = No. 1

=====

Entry 8:
A relaxed LiTmAgCl5 crystal. Source: Alexandria via LeMat-Bulk, functional PBE.

Unit cell a=7.3233 b=7.3233 c=9.7066 alpha=101.21 beta=101.21 gamma=118.24
Atoms (fractional coordinates):
Li (0.2831, 0.7169, 0.7500)
Li (0.7169, 0.2831, 0.2500)
Cl (0.9187, 0.0813, 0.7500)
Cl (0.2413, 0.4233, 0.5534)
Cl (0.3448, 0.0028, 0.6407)
Cl (0.6552, 0.9972, 0.3593)
Cl (0.7587, 0.5767, 0.4466)
Cl (0.0028, 0.3448, 0.1407)
Cl (0.4233, 0.2413, 0.0534)
Cl (0.0813, 0.9187, 0.2500)
Cl (0.9972, 0.6552, 0.8593)
Cl (0.5767, 0.7587, 0.9466)
Ag (0.5720, 0.4280, 0.7500)
Ag (0.4280, 0.5720, 0.2500)
Tm (0.0000, 0.0000, 0.5000)
Tm (0.0000, 0.0000, 0.0000)

Values from the calculation:
- E_form (uncorrected) (eV/atom) = -1.6869
- density of states at the Fermi level (states/eV/atom) = 0.000
- total DFT energy (no corrections) (eV/atom) = -3.9956
- space-group type = No. 15

=====

Entry 9:
A relaxed Li2UAgCl8 crystal. Source: Alexandria via LeMat-Bulk, functional PBE.

Unit cell a=6.4577 b=6.6672 c=8.9037 alpha=73.65 beta=91.06 gamma=104.84
Each line ends with the local moment (μB).
Atoms (fractional coordinates):
Li (0.4578, 0.6356, 0.3322)  0.00
Li (0.5422, 0.3644, 0.6678)  0.00
Cl (0.3524, 0.2604, 0.4618)  0.00
Cl (0.8846, 0.2162, 0.1548)  -0.04
Cl (0.6476, 0.7396, 0.5382)  0.00
Cl (0.6398, 0.7178, 0.0742)  -0.03
Cl (0.1502, 0.7942, 0.2491)  -0.02
Cl (0.1154, 0.7838, 0.8452)  -0.04
Cl (0.3602, 0.2822, 0.9258)  -0.03
Cl (0.8498, 0.2058, 0.7509)  -0.02
Ag (0.0000, 0.0000, 0.5000)  -0.01
U (0.0000, 0.0000, 0.0000)  1.18

Values from the calculation:
- E_form (uncorrected) (eV/atom) = -1.4787
- total DFT energy (no corrections) (eV/atom) = -4.2071
- space-group type = No. 2

=====

Entry 10:
A relaxed Li2VAgCl6 crystal. Source: Alexandria via LeMat-Bulk, functional PBE.

Unit cell a=6.4083 b=6.4086 c=6.9512 alpha=62.54 beta=62.54 gamma=59.98
Each line ends with the local moment (μB).
Atoms (fractional coordinates):
Ag (0.8117, 0.8119, 0.5645)  -0.01
Cl (0.3881, 0.7191, 0.7653)  -0.02
Cl (0.7191, 0.1274, 0.7654)  -0.02
Cl (0.1275, 0.3882, 0.7653)  -0.02
Cl (0.5739, 0.2454, 0.2367)  -0.02
Cl (0.9440, 0.5739, 0.2366)  -0.02
Cl (0.2454, 0.9440, 0.2366)  -0.02
Li (0.5193, 0.5192, 0.4422)  0.00
Li (0.0043, 0.0043, 0.9872)  0.00
V (0.3282, 0.3282, 0.0154)  1.89

Values from the calculation:
- E_form (uncorrected) (eV/atom) = -1.2750
- density of states at the Fermi level (states/eV/atom) = 0.929
- total DFT energy (no corrections) (eV/atom) = -3.9627
- space-group type = No. 146

=====

Entry 11:
A relaxed LiVAgCl6 crystal. Source: Alexandria via LeMat-Bulk, functional PBE.

Unit cell a=6.3010 b=6.3010 c=11.6472 alpha=90.00 beta=90.00 gamma=120.00
Each line ends with the local moment (μB).
Atoms (fractional coordinates):
Cl (0.9759, 0.6284, 0.3656)  -0.03
Cl (0.6284, 0.6526, 0.6344)  -0.03
Cl (0.3474, 0.3716, 0.8656)  -0.03
Cl (0.3716, 0.3474, 0.3656)  -0.03
Cl (0.6526, 0.6284, 0.1344)  -0.03
Cl (0.0241, 0.6526, 0.8656)  -0.03
Cl (0.3716, 0.0241, 0.1344)  -0.03
Cl (0.6284, 0.9759, 0.8656)  -0.03
Cl (0.9759, 0.3474, 0.1344)  -0.03
Cl (0.6526, 0.0241, 0.3656)  -0.03
Cl (0.0241, 0.3716, 0.6344)  -0.03
Cl (0.3474, 0.9759, 0.6344)  -0.03
V (0.3333, 0.6667, 0.7500)  1.11
V (0.6667, 0.3333, 0.2500)  1.11
Ag (0.0000, 0.0000, 0.5000)  -0.04
Ag (0.0000, 0.0000, 0.0000)  -0.04
Li (0.6667, 0.3333, 0.7500)  0.00
Li (0.3333, 0.6667, 0.2500)  0.00

Values from the calculation:
- E_form (uncorrected) (eV/atom) = -1.0985
- density of states at the Fermi level (states/eV/atom) = 0.710
- total DFT energy (no corrections) (eV/atom) = -3.8723
- space-group type = No. 163

=====

Entry 12:
A relaxed Li2YAgCl6 crystal. Source: Alexandria via LeMat-Bulk, functional PBE.

Unit cell a=6.6590 b=6.6608 c=7.1980 alpha=62.40 beta=62.46 gamma=59.97
Atoms (fractional coordinates):
Li (0.0093, 0.0091, 0.9725)
Li (0.5201, 0.5197, 0.4408)
Cl (0.7375, 0.1282, 0.7497)
Cl (0.1278, 0.3848, 0.7497)
Cl (0.2405, 0.9102, 0.2431)
Cl (0.6061, 0.2401, 0.2435)
Cl (0.3845, 0.7377, 0.7497)
Cl (0.9104, 0.6060, 0.2430)
Y (0.3216, 0.3216, 0.0350)
Ag (0.8037, 0.8042, 0.5883)

Values from the calculation:
- E_form (uncorrected) (eV/atom) = -1.7087
- density of states at the Fermi level (states/eV/atom) = 0.000
- total DFT energy (no corrections) (eV/atom) = -4.1310
- space-group type = No. 1